(one)
A relaxed structure of Tb3Pr2Tm. Source: Alexandria via LeMat-Bulk, functional PBE.

Results
total moment = 0.00 μB/f.u.

The structure in CIF format:
```
data_Tb3Pr2Tm
_chemical_formula_sum 'Tb6 Pr4 Tm2'
_cell_length_a 5.665
_cell_length_b 9.824
_cell_length_c 7.093
_cell_angle_alpha 90.00
_cell_angle_beta 90.00
_cell_angle_gamma 90.00
_symmetry_space_group_name_H-M 'P 1'
_symmetry_Int_Tables_number 1
loop_
_symmetry_equiv_pos_as_xyz
'x,y,z'
loop_
_atom_site_label
_atom_site_type_symbol
_atom_site_fract_x
_atom_site_fract_y
_atom_site_fract_z
Tb1 Tb 0.500 0.500 0.500
Tb2 Tb 0.000 0.667 0.250
Tb3 Tb 0.500 0.833 0.750
Pr1 Pr 0.500 0.833 0.251
Pr2 Pr 0.000 0.667 0.751
Tb4 Tb 0.000 0.333 0.750
Tm1 Tm 0.500 0.500 0.000
Pr3 Pr 0.000 0.333 0.249
Tb5 Tb 0.500 0.167 0.250
Pr4 Pr 0.500 0.167 0.749
Tb6 Tb 0.000 0.000 0.000
Tm2 Tm 0.000 0.000 0.500
```

(two)
A relaxed structure of Tb3Pr2Tm. Source: Alexandria via LeMat-Bulk, functional PBE.

Results
total moment = 0.00 μB/f.u.

The structure in CIF format:
```
data_Tb3Pr2Tm
_chemical_formula_sum 'Tb6 Pr4 Tm2'
_cell_length_a 5.655
_cell_length_b 8.926
_cell_length_c 12.069
_cell_angle_alpha 43.77
_cell_angle_beta 76.45
_cell_angle_gamma 71.53
_symmetry_space_group_name_H-M 'P 1'
_symmetry_Int_Tables_number 1
loop_
_symmetry_equiv_pos_as_xyz
'x,y,z'
loop_
_atom_site_label
_atom_site_type_symbol
_atom_site_fract_x
_atom_site_fract_y
_atom_site_fract_z
Pr1 Pr 0.413 0.795 0.378
Pr2 Pr 0.587 0.205 0.622
Pr3 Pr 0.059 0.541 0.342
Tb1 Tb 0.247 0.353 0.154
Tm1 Tm 0.603 0.653 0.140
Tb2 Tb 0.096 0.896 0.912
Tb3 Tb 0.775 0.046 0.404
Tm2 Tm 0.397 0.347 0.860
Tb4 Tb 0.753 0.647 0.846
Pr4 Pr 0.941 0.459 0.658
Tb5 Tb 0.225 0.954 0.596
Tb6 Tb 0.904 0.104 0.088
```

(one) is preferred energetically. Next in line: 35 meV/atom higher.

(one)
A relaxed structure of TbPrTm3. Source: Alexandria via LeMat-Bulk, functional PBE.

Results
total moment = 0.00 μB/f.u.

The structure in CIF format:
```
data_TbPrTm3
_chemical_formula_sum 'Tb2 Pr2 Tm6'
_cell_length_a 9.569
_cell_length_b 5.639
_cell_length_c 6.267
_cell_angle_alpha 90.00
_cell_angle_beta 109.06
_cell_angle_gamma 90.00
_symmetry_space_group_name_H-M 'P 1'
_symmetry_Int_Tables_number 1
loop_
_symmetry_equiv_pos_as_xyz
'x,y,z'
loop_
_atom_site_label
_atom_site_type_symbol
_atom_site_fract_x
_atom_site_fract_y
_atom_site_fract_z
Tm1 Tm 0.001 0.450 0.837
Tm2 Tm 0.999 0.950 0.163
Pr1 Pr 0.800 0.950 0.567
Tb1 Tb 0.400 0.450 0.035
Tm3 Tm 0.201 0.950 0.768
Tm4 Tm 0.799 0.450 0.232
Tb2 Tb 0.600 0.950 0.965
Tm5 Tm 0.401 0.950 0.365
Tm6 Tm 0.599 0.450 0.635
Pr2 Pr 0.200 0.450 0.433
```

(two)
A relaxed structure of TbPrTm3. Source: Alexandria via LeMat-Bulk, functional PBE.

Results
total moment = 0.00 μB/f.u.

The structure in CIF format:
```
data_TbPrTm3
_chemical_formula_sum 'Tb2 Pr2 Tm6'
_cell_length_a 3.609
_cell_length_b 8.575
_cell_length_c 11.406
_cell_angle_alpha 90.00
_cell_angle_beta 90.00
_cell_angle_gamma 101.39
_symmetry_space_group_name_H-M 'P 1'
_symmetry_Int_Tables_number 1
loop_
_symmetry_equiv_pos_as_xyz
'x,y,z'
loop_
_atom_site_label
_atom_site_type_symbol
_atom_site_fract_x
_atom_site_fract_y
_atom_site_fract_z
Pr1 Pr 0.921 0.522 0.750
Tm1 Tm 0.168 0.820 0.499
Tb1 Tb 0.339 0.128 0.250
Tm2 Tm 0.690 0.814 0.250
Tm3 Tm 0.168 0.820 0.001
Tm4 Tm 0.832 0.180 0.999
Tm5 Tm 0.310 0.186 0.750
Tm6 Tm 0.832 0.180 0.501
Tb2 Tb 0.661 0.872 0.750
Pr2 Pr 0.079 0.478 0.250
```

(one) is preferred energetically. Next in line: 282 meV/atom higher.

(one)
A relaxed structure of Tb2PrTm7. Source: Alexandria via LeMat-Bulk, functional PBE.

Results
total moment = 0.00 μB/f.u.

The structure in CIF format:
```
data_Tb2PrTm7
_chemical_formula_sum 'Tb2 Pr1 Tm7'
_cell_length_a 5.509
_cell_length_b 8.378
_cell_length_c 8.378
_cell_angle_alpha 84.81
_cell_angle_beta 70.89
_cell_angle_gamma 70.89
_symmetry_space_group_name_H-M 'P 1'
_symmetry_Int_Tables_number 1
loop_
_symmetry_equiv_pos_as_xyz
'x,y,z'
loop_
_atom_site_label
_atom_site_type_symbol
_atom_site_fract_x
_atom_site_fract_y
_atom_site_fract_z
Tm1 Tm 0.000 0.336 0.664
Tm2 Tm 0.000 0.664 0.336
Tm3 Tm 0.254 0.897 0.594
Tb1 Tb 0.500 0.838 0.162
Tb2 Tb 0.500 0.162 0.838
Tm4 Tm 0.500 0.500 0.500
Pr1 Pr 0.000 0.000 0.000
Tm5 Tm 0.746 0.103 0.406
Tm6 Tm 0.746 0.406 0.103
Tm7 Tm 0.254 0.594 0.897
```

(two)
A relaxed structure of Tb2PrTm7. Source: Alexandria via LeMat-Bulk, functional PBE.

Results
total moment = 0.00 μB/f.u.

The structure in CIF format:
```
data_Tb2PrTm7
_chemical_formula_sum 'Tb2 Pr1 Tm7'
_cell_length_a 5.509
_cell_length_b 9.187
_cell_length_c 9.187
_cell_angle_alpha 123.93
_cell_angle_beta 90.00
_cell_angle_gamma 90.00
_symmetry_space_group_name_H-M 'P 1'
_symmetry_Int_Tables_number 1
loop_
_symmetry_equiv_pos_as_xyz
'x,y,z'
loop_
_atom_site_label
_atom_site_type_symbol
_atom_site_fract_x
_atom_site_fract_y
_atom_site_fract_z
Tb1 Tb 0.500 0.297 0.703
Tm1 Tm 0.500 0.500 0.500
Tm2 Tm 0.500 0.062 0.290
Pr1 Pr 0.000 0.000 0.000
Tm3 Tm 0.000 0.789 0.211
Tm4 Tm 0.500 0.290 0.062
Tm5 Tm 0.500 0.710 0.938
Tm6 Tm 0.500 0.938 0.710
Tb2 Tb 0.500 0.703 0.297
Tm7 Tm 0.000 0.211 0.789
```

(one) is preferred energetically. Next in line: 301 meV/atom higher.